[1]
Density functional theory data (PBE) for crystalline Sr6P2PdCl3 at its relaxed geometry.

Cell: 4.412 8.979 9.889 Å, 103.70 102.89 90.00°
Fractional coordinates of all 12 atoms:
1 P 0.165 0.335 0.330
2 P 0.835 0.665 0.670
3 Pd 0.500 0.000 0.000
4 Sr 0.005 0.238 0.010
5 Sr 0.995 0.762 0.990
6 Sr 0.674 0.566 0.349
7 Sr 0.326 0.434 0.651
8 Sr 0.659 0.105 0.319
9 Sr 0.341 0.895 0.681
10 Cl 0.171 0.833 0.342
11 Cl 0.500 0.500 0.000
12 Cl 0.829 0.167 0.658

Crystal system = monoclinic
Uncorrected formation energy = -1.49 eV per atom
M_tot = 0.059 μB/f.u.

---

[2]
Density functional theory data (PBE) for crystalline YTi3Pd at its relaxed geometry.

Cell: 4.846 4.846 4.846 Å, 90.00 90.00 90.00°
Fractional coordinates of all 5 atoms:
1 Ti 0.500 0.000 0.000
2 Ti 0.000 0.000 0.500
3 Ti 0.000 0.500 0.000
4 Pd 0.000 0.000 0.000
5 Y 0.500 0.500 0.500

E_form = 0.36 eV per atom
Crystal system = cubic
M_tot = 0.002 μB/f.u.

---

[3]
Density functional theory data (PBE) for crystalline CePuS2O at its relaxed geometry.

Cell: 3.928 3.928 13.869 Å, 90.00 90.00 90.00°
Each line ends with the local moment (μB).
Fractional coordinates of all 10 atoms:
1 S 0.000 0.500 0.687  -0.07
2 S 0.000 0.500 0.095  -0.03
3 S 0.500 0.000 0.905  -0.03
4 S 0.500 0.000 0.313  -0.07
5 Ce 0.000 0.500 0.879  0.86
6 Ce 0.500 0.000 0.121  0.86
7 Pu 0.500 0.000 0.588  4.84
8 Pu 0.000 0.500 0.412  4.84
9 O 0.000 0.000 0.500  -0.13
10 O 0.500 0.500 0.500  -0.13

Crystal system = tetragonal
Uncorrected formation energy = -2.27 eV per atom
M_tot = 5.741 μB/f.u.

---

[4]
Density functional theory data (PBE) for crystalline Pm5Y2Tm at its relaxed geometry.

Cell: 5.100 7.225 14.458 Å, 90.00 90.00 90.00°
Fractional coordinates of all 16 atoms:
1 Pm 0.000 0.001 0.749
2 Pm 0.500 0.749 0.124
3 Pm 0.000 0.000 0.000
4 Pm 0.000 0.501 0.751
5 Pm 0.500 0.251 0.876
6 Pm 0.500 0.751 0.624
7 Pm 0.000 0.500 0.500
8 Pm 0.000 0.499 0.249
9 Pm 0.000 0.999 0.251
10 Pm 0.500 0.249 0.376
11 Y 0.500 0.250 0.124
12 Y 0.500 0.750 0.876
13 Y 0.500 0.750 0.376
14 Y 0.500 0.250 0.624
15 Tm 0.000 0.000 0.500
16 Tm 0.000 0.500 0.000

E_form = 0.02 eV per atom
Crystal system = orthorhombic
M_tot = 0.000 μB/f.u.

---

[5]
Density functional theory data (PBE) for crystalline Tb2CePrHo at its relaxed geometry.

Cell: 7.217 7.792 5.907 Å, 89.98 90.00 90.00°
Each line ends with the local moment (μB).
Fractional coordinates of all 10 atoms:
1 Ho 0.388 0.000 0.750  0.11
2 Ho 0.612 0.000 0.250  0.11
3 Pr 0.163 0.500 0.750  0.01
4 Pr 0.837 0.500 0.250  0.01
5 Tb 0.321 0.290 0.250  0.06
6 Tb 0.679 0.710 0.750  0.06
7 Tb 0.679 0.290 0.750  0.06
8 Tb 0.321 0.710 0.250  0.06
9 Ce 0.000 0.000 0.500  1.02
10 Ce 0.000 0.000 0.000  1.02

E_form = 0.28 eV per atom
Crystal system = orthorhombic
M_tot = 1.646 μB/f.u.

---

[6]
Density functional theory data (PBE) for crystalline BaZrRu2Pb at its relaxed geometry.

Cell: 5.071 5.855 5.071 Å, 90.00 90.00 90.00°
Each line ends with the local moment (μB).
Fractional coordinates of all 5 atoms:
1 Ru 0.500 0.000 0.000  -0.47
2 Ru 0.000 0.000 0.500  -0.55
3 Pb 0.000 0.000 0.000  0.03
4 Ba 0.000 0.500 0.000  0.19
5 Zr 0.500 0.500 0.500  1.25

E_form = 1.66 eV per atom
Crystal system = tetragonal
M_tot = 1.522 μB/f.u.

---

[7]
Density functional theory data (PBE) for crystalline Cu3Pt at its relaxed geometry.

Cell: 4.574 8.040 4.524 Å, 90.00 109.54 90.00°
Fractional coordinates of all 12 atoms:
1 Pt 0.000 0.842 0.500
2 Pt 0.500 0.665 0.500
3 Pt 0.500 0.325 0.500
4 Cu 0.500 0.839 0.000
5 Cu 0.500 0.495 0.000
6 Cu 0.500 0.002 0.500
7 Cu 0.500 0.163 0.000
8 Cu 0.000 0.007 0.000
9 Cu 0.000 0.167 0.500
10 Cu 0.000 0.665 0.000
11 Cu 0.000 0.331 0.000
12 Cu 0.000 0.498 0.500

E_form = -0.11 eV per atom
Crystal system = monoclinic
M_tot = 0.000 μB/f.u.

---

[8]
Density functional theory data (PBE) for crystalline LaTb5Sm2 at its relaxed geometry.

Cell: 5.092 7.209 14.427 Å, 90.00 90.00 90.00°
Fractional coordinates of all 16 atoms:
1 La 0.000 0.000 0.500
2 La 0.000 0.500 0.000
3 Tb 0.000 0.499 0.252
4 Tb 0.500 0.250 0.374
5 Tb 0.000 0.000 0.000
6 Tb 0.000 0.500 0.500
7 Tb 0.000 0.001 0.752
8 Tb 0.500 0.750 0.626
9 Tb 0.500 0.250 0.874
10 Tb 0.500 0.750 0.126
11 Tb 0.000 0.999 0.248
12 Tb 0.000 0.501 0.748
13 Sm 0.500 0.249 0.126
14 Sm 0.500 0.751 0.874
15 Sm 0.500 0.251 0.626
16 Sm 0.500 0.749 0.374

E_form = 0.02 eV per atom
Crystal system = orthorhombic
M_tot = 0.000 μB/f.u.

---

[9]
Density functional theory data (PBE) for crystalline CaEr3Hg4 at its relaxed geometry.

Cell: 5.230 7.444 10.460 Å, 90.00 90.00 90.00°
Fractional coordinates of all 16 atoms:
1 Ca 0.000 0.500 0.500
2 Ca 0.000 0.500 0.000
3 Hg 0.000 0.756 0.750
4 Hg 0.500 0.756 0.500
5 Hg 0.000 0.244 0.750
6 Hg 0.500 0.244 0.500
7 Hg 0.000 0.756 0.250
8 Hg 0.500 0.756 0.000
9 Hg 0.500 0.244 0.000
10 Hg 0.000 0.244 0.250
11 Er 0.500 0.500 0.750
12 Er 0.500 0.000 0.250
13 Er 0.000 0.000 0.500
14 Er 0.000 0.000 0.000
15 Er 0.500 0.000 0.750
16 Er 0.500 0.500 0.250

E_form = -0.51 eV per atom
Crystal system = tetragonal
M_tot = 0.000 μB/f.u.

---

[10]
Density functional theory data (PBE) for crystalline Pm3Pr4Er3 at its relaxed geometry.

Cell: 3.859 9.447 9.447 Å, 89.72 90.00 90.00°
Fractional coordinates of all 10 atoms:
1 Pr 0.000 0.867 0.870
2 Pr 0.000 0.130 0.133
3 Pr 0.000 0.371 0.629
4 Pr 0.000 0.630 0.370
5 Pm 0.000 0.997 0.496
6 Pm 0.500 0.168 0.832
7 Pm 0.000 0.504 0.003
8 Er 0.500 0.831 0.169
9 Er 0.500 0.332 0.331
10 Er 0.500 0.669 0.668

E_form = 0.10 eV per atom
Crystal system = orthorhombic
M_tot = 0.000 μB/f.u.

---

[11]
Density functional theory data (PBE) for crystalline MgIn2Ag at its relaxed geometry.

Cell: 5.124 5.124 5.994 Å, 77.05 77.05 36.15°
Fractional coordinates of all 4 atoms:
1 In 0.496 0.496 0.509
2 In 0.004 0.004 0.991
3 Mg 0.250 0.250 0.250
4 Ag 0.750 0.750 0.750

E_form = -0.04 eV per atom
Crystal system = monoclinic
M_tot = 0.000 μB/f.u.

---

[12]
Density functional theory data (PBE) for crystalline TaAlTlBi2 at its relaxed geometry.

Cell: 5.799 5.368 5.799 Å, 90.00 90.00 90.00°
Each line ends with the local moment (μB).
Fractional coordinates of all 5 atoms:
1 Tl 0.000 0.000 0.000  0.02
2 Bi 0.000 0.000 0.500  -0.10
3 Bi 0.500 0.000 0.000  -0.16
4 Al 0.500 0.500 0.500  0.01
5 Ta 0.000 0.500 0.000  1.63

E_form = 1.61 eV per atom
Crystal system = tetragonal
M_tot = 2.347 μB/f.u.

---

What is the M_tot in the seventh record? 0.000 μB/f.u.

---

Which value of M_tot does entry 4 give? 0.000 μB/f.u.